Model A:
Density functional theory data (GGA-PBE) for a geometry-optimized VHRh3 structure.

Properties
Magnetization, μB/atom: 0.057

abc: 3.856 7.799 7.697
angles: 90.00 90.00 90.00
Space group Amm2 (No. 38)
Unique sites:
V 0.000 0.237 0.000 (multiplicity 4)
H 0.000 0.000 0.508 (multiplicity 2)
H 0.500 0.000 0.255 (multiplicity 2)
Rh 0.000 0.000 0.247 (multiplicity 2)
Rh 0.000 0.000 0.758 (multiplicity 2)
Rh 0.500 0.000 0.505 (multiplicity 2)
Rh 0.500 0.000 0.999 (multiplicity 2)
Rh 0.500 0.247 0.752 (multiplicity 4)

---

Model B:
Density functional theory data (GGA-PBE) for a geometry-optimized VHRh3 structure.

Properties
Magnetization, μB/atom: 0.019

abc: 3.871 3.871 3.871
angles: 90.00 90.00 90.00
Space group Pm-3m (No. 221)
Unique sites:
V 0.000 0.000 0.000 (multiplicity 1)
H 0.500 0.500 0.500 (multiplicity 1)
Rh 0.000 0.500 0.500 (multiplicity 3)

---

Pick model A: it beats the second-best structure by 6 meV per atom.

---

Model A:
Density functional theory data (GGA-PBE) for a geometry-optimized VH2Rh structure.

Properties
Magnetization, μB/atom: 0.208

abc: 5.163 5.163 5.163
angles: 90.00 90.00 90.00
Space group Fm-3m (No. 225)
Unique sites:
V 0.000 0.000 0.000 (multiplicity 4)
H 0.250 0.250 0.250 (multiplicity 8)
Rh 0.000 0.000 0.500 (multiplicity 4)

---

Model B:
Density functional theory data (GGA-PBE) for a geometry-optimized VH2Rh structure.

Properties
Magnetization, μB/atom: 0.251

abc: 4.095 4.095 8.232
angles: 90.00 90.00 90.00
Space group I-42d (No. 122)
Unique sites:
V 0.000 0.000 0.000 (multiplicity 4)
H 0.247 0.250 0.625 (multiplicity 8)
Rh 0.000 0.000 0.500 (multiplicity 4)

---

Pick model B: it beats the second-best structure by 479 meV per atom.

---

Model A:
Density functional theory data (GGA-PBE) for a geometry-optimized VH2Rh structure.

Properties
Magnetization, μB/atom: 0.000

abc: 2.8208 2.8208 14.3149
angles: 90.00 90.00 120.00
Space group R3m (No. 160, hexagonal axes)
Unique sites:
V 0.0000 0.0000 0.0000 (multiplicity 3)
H 0.0000 0.0000 0.6101 (multiplicity 3)
H 0.0000 0.0000 0.7523 (multiplicity 3)
Rh 0.0000 0.0000 0.4869 (multiplicity 3)

---

Model B:
Density functional theory data (GGA-PBE) for a geometry-optimized VH2Rh structure.

Properties
Magnetization, μB/atom: 0.000

abc: 2.8172 2.8172 13.6768
angles: 90.00 90.00 120.00
Space group R-3m (No. 166, hexagonal axes)
Unique sites:
V 0.0000 0.0000 0.0000 (multiplicity 3)
H 0.0000 0.0000 0.2596 (multiplicity 6)
Rh 0.0000 0.0000 0.5000 (multiplicity 3)

---

Pick model B: it beats the second-best structure by 55 meV per atom.

---

Model A:
Density functional theory data (GGA-PBE) for a geometry-optimized V2HRhW structure.

Properties
Magnetization, μB/atom: 0.000

abc: 3.906 3.906 3.896
angles: 90.00 90.00 90.00
Space group P4/mmm (No. 123)
Unique sites:
V 0.000 0.500 0.000 (multiplicity 2)
H 0.000 0.000 0.000 (multiplicity 1)
Rh 0.500 0.500 0.500 (multiplicity 1)
W 0.000 0.000 0.500 (multiplicity 1)

---

Model B:
Density functional theory data (GGA-PBE) for a geometry-optimized V2HRhW structure.

Properties
Magnetization, μB/atom: 0.000

abc: 4.149 4.149 3.464
angles: 90.00 90.00 90.00
Space group P4/mmm (No. 123)
Unique sites:
V 0.000 0.500 0.000 (multiplicity 2)
H 0.000 0.000 0.000 (multiplicity 1)
Rh 0.000 0.000 0.500 (multiplicity 1)
W 0.500 0.500 0.500 (multiplicity 1)

---

Pick model B: it beats the second-best structure by 36 meV per atom.